Entry 1:
Compound: ScZn4Ir
Source: Alexandria
Functional: GGA-PBE
Structure: relaxed

Structure (POSCAR):
```
ScZn4Ir
1.0
-3.561 -0.905 3.385
-0.836 -4.673 1.557
1.253 -1.347 4.645
Ir Sc Zn
1 1 4
Cartesian
-2.357 -5.193 7.190
0.000 0.000 0.000
-1.180 -2.600 3.600
-1.597 -4.927 4.376
-0.556 -3.271 5.913
-2.953 -3.051 5.286
```

Results
Total magnetization in μB per cell: 0.00
Total energy in eV/atom: -3.82

=====

Entry 2:
Compound: AcLa2TbPm6
Source: Alexandria
Functional: GGA-PBE
Structure: relaxed

Structure (POSCAR):
```
AcLa2TbPm6
1.0
9.485 -2.157 -2.238
0.897 8.797 -2.116
0.897 -2.440 8.713
Ac La Tb Pm
2 4 2 12
Cartesian
3.268 8.048 -2.473
8.011 -3.848 6.832
5.669 4.392 3.298
0.868 2.146 0.967
5.610 -0.192 1.061
10.411 2.055 3.392
3.268 1.601 3.740
8.011 2.599 0.620
1.305 -0.810 6.061
5.232 -0.808 6.063
9.974 5.010 -1.702
6.047 5.009 -1.704
4.221 6.903 0.988
2.316 4.547 -1.457
7.058 -2.702 3.371
8.963 -0.347 5.816
2.204 4.749 2.578
4.332 2.878 0.637
9.074 -0.548 1.781
6.947 1.322 3.722
```

Results
Total magnetization in μB per cell: 0.00
Total energy in eV/atom: -4.59

=====

Entry 3:
Compound: SmErZnCd
Source: Alexandria
Functional: GGA-PBE
Structure: relaxed

Structure (POSCAR):
```
SmErZnCd
1.0
3.604 0.000 0.000
0.000 3.604 0.000
0.000 0.000 7.641
Sm Er Zn Cd
1 1 1 1
Cartesian
1.802 1.802 0.967
1.802 1.802 4.481
0.000 0.000 2.837
0.000 0.000 6.445
```

Results
Energy above the lowest structure with this stoichiometry in eV/atom: 0.0000
Total magnetization in μB per cell: 0.00

=====

Entry 4:
Compound: RbCeH
Source: Alexandria
Functional: GGA-PBE
Structure: relaxed

Structure (POSCAR):
```
RbCeH
1.0
-0.814 3.596 0.538
-0.853 -2.514 2.607
12.877 1.997 6.139
H Rb Ce
2 2 2
Cartesian
-0.669 1.649 0.866
5.720 0.590 4.709
4.063 2.368 3.224
7.403 2.886 4.817
10.935 1.414 7.095
0.578 -0.192 2.157
```

Results
Total magnetization in μB per cell: 3.20
Total energy in eV/atom: -3.23